Entry 1:
AlSnTe3: optimized geometry, GGA-PBE.

abc: 9.924 7.202 9.495
angles: 90.00 116.70 90.00
Space group P2_1/c (No. 14)
Asymmetric unit:
Al 0.075 0.248 0.100
Sn 0.398 0.738 0.875
Te 0.088 0.055 0.362
Te 0.201 0.582 0.542
Te 0.374 0.130 0.764

Values from the calculation:
Uncorrected energy ... -72.6 eV/cell
Volume ... 30.31 Å³/atom
Magnetization ... 0.0000 μB per atom
Formation energy without anion corrections ... -0.1976 eV/atom


Entry 2:
AlSn2Te: optimized geometry, GGA-PBE.

abc: 7.476 7.476 7.476
angles: 90.00 90.00 90.00
Space group Fm-3m (No. 225)
Asymmetric unit:
Al 0.000 0.000 0.000
Sn 0.250 0.250 0.250
Te 0.000 0.000 0.500

Values from the calculation:
Uncorrected energy ... -56.5 eV/cell
Volume ... 26.12 Å³/atom
Magnetization ... 0.0000 μB per atom
Formation energy without anion corrections ... 0.1916 eV/atom


Entry 3:
Al3SnTe6: optimized geometry, GGA-PBE.

abc: 6.828 7.123 7.846
angles: 65.99 74.63 71.33
Space group P-1 (No. 2)
Asymmetric unit:
Al 0.000 0.000 0.000
Al 0.000 0.500 0.000
Al 0.500 0.000 0.000
Sn 0.500 0.000 0.500
Te 0.161 0.086 0.260
Te 0.232 0.294 0.734
Te 0.333 0.695 0.916

Values from the calculation:
Uncorrected energy ... -36.1 eV/cell
Volume ... 32.62 Å³/atom
Magnetization ... 0.0000 μB per atom
Formation energy without anion corrections ... -0.1977 eV/atom


Entry 4:
Al2SnTe: optimized geometry, GGA-PBE.

abc: 4.3356 4.3356 22.8968
angles: 90.00 90.00 120.00
Space group R-3m (No. 166, hexagonal axes)
Asymmetric unit:
Al 0.0000 0.0000 0.1115
Sn 0.0000 0.0000 0.5000
Te 0.0000 0.0000 0.0000

Values from the calculation:
Uncorrected energy ... -41.0 eV/cell
Volume ... 31.06 Å³/atom
Magnetization ... 0.0000 μB per atom
Formation energy without anion corrections ... 0.2443 eV/atom


Which formula does entry 1 have? AlSnTe3


Which formula does entry 3 have? Al3SnTe6